1.
DFT (GGA-PBE) results for a relaxed structure of Rb2Zn2TeO6.

```
data_Rb2Zn2TeO6
_chemical_formula_sum 'Rb6 Zn6 Te3 O18'
_space_group_name_H-M_alt 'R -3 m'
_space_group_IT_number 166
_space_group_name_Hall '-R 3 2"'
_cell_length_a 5.9183
_cell_length_b 5.9183
_cell_length_c 18.3537
_cell_angle_alpha 90.00
_cell_angle_beta 90.00
_cell_angle_gamma 120.00
loop_
_atom_site_label
_atom_site_fract_x
_atom_site_fract_y
_atom_site_fract_z
_atom_site_occupancy
Rb1 0.0000 0.0000 0.2049 1
Zn1 0.0000 0.0000 0.3839 1
Te1 0.0000 0.0000 0.0000 1
O1 0.0315 0.5157 0.7324 1
```

Calculated values
* ρ: 4.70 g/cm3
* total DFT energy (no corrections): -4.73 eV/atom
* uncorrected formation energy: -30.659 kcal/mol of atoms

2.
DFT (GGA-PBE) results for a relaxed structure of TaTlMo.

```
data_TaTlMo
_chemical_formula_sum 'Ta2 Tl2 Mo2'
_space_group_name_H-M_alt 'I 4 m m'
_space_group_IT_number 107
_space_group_name_Hall 'I 4 -2'
_cell_length_a 3.4600
_cell_length_b 3.4600
_cell_length_c 9.4753
_cell_angle_alpha 90.00
_cell_angle_beta 90.00
_cell_angle_gamma 90.00
loop_
_atom_site_label
_atom_site_fract_x
_atom_site_fract_y
_atom_site_fract_z
_atom_site_occupancy
Ta1 0.0000 0.0000 0.0000 1
Tl1 0.0000 0.0000 0.6864 1
Mo1 0.0000 0.0000 0.3684 1
```

Calculated values
* E above lowest polymorph: 0 meV/atom
* ρ: 14.09 g/cm3
* calculated formation energy: 1.0 eV per formula unit
* total DFT energy (no corrections): -8.00 eV/atom
* DOS(E_F): 1.94 states/eV per cell

3.
DFT (GGA-PBE) results for a relaxed structure of YGeBr2.

```
data_YGeBr2
_chemical_formula_sum 'Y4 Ge4 Br8'
_space_group_name_H-M_alt 'I -4 2 d'
_space_group_IT_number 122
_space_group_name_Hall 'I -4 2bw'
_cell_length_a 7.0380
_cell_length_b 7.0380
_cell_length_c 12.4226
_cell_angle_alpha 90.00
_cell_angle_beta 90.00
_cell_angle_gamma 90.00
loop_
_atom_site_label
_atom_site_fract_x
_atom_site_fract_y
_atom_site_fract_z
_atom_site_occupancy
Y1 0.0000 0.0000 0.0000 1
Ge1 0.0000 0.0000 0.5000 1
Br1 0.1990 0.2500 0.1250 1
```

Calculated values
* E above lowest polymorph: 327 meV/atom
* ρ: 3.47 g/cm3
* total DFT energy (no corrections): -3.77 eV/atom
* DOS(E_F): 8.88 states/eV per cell
* uncorrected formation energy: -3.778 kcal/mol of atoms

4.
DFT (GGA-PBE) results for a relaxed structure of CsNbCd.

```
data_CsNbCd
_chemical_formula_sum 'Cs4 Nb4 Cd4'
_space_group_name_H-M_alt 'P n m a'
_space_group_IT_number 62
_space_group_name_Hall '-P 2ac 2n'
_cell_length_a 9.3411
_cell_length_b 4.3825
_cell_length_c 12.6046
_cell_angle_alpha 90.00
_cell_angle_beta 90.00
_cell_angle_gamma 90.00
loop_
_atom_site_label
_atom_site_fract_x
_atom_site_fract_y
_atom_site_fract_z
_atom_site_occupancy
Cs1 0.0769 0.2500 0.1781 1
Nb1 0.0538 0.2500 0.5111 1
Cd1 0.2349 0.7500 0.4063 1
```

Calculated values
* E above lowest polymorph: 355 meV/atom
* ρ: 4.35 g/cm3
* calculated formation energy: 2.2 eV per formula unit
* total DFT energy (no corrections): -3.20 eV/atom
* DOS(E_F): 7.40 states/eV per cell

5.
DFT (GGA-PBE) results for a relaxed structure of Rb2CeAgS4.

```
data_Rb2CeAgS4
_chemical_formula_sum 'Rb8 Ce4 Ag4 S16'
_space_group_name_H-M_alt 'C 1 2/c 1'
_space_group_IT_number 15
_space_group_name_Hall '-C 2yc'
_cell_length_a 11.6672
_cell_length_b 11.6243
_cell_length_c 8.4992
_cell_angle_alpha 90.00
_cell_angle_beta 125.86
_cell_angle_gamma 90.00
loop_
_atom_site_label
_atom_site_fract_x
_atom_site_fract_y
_atom_site_fract_z
_atom_site_occupancy
Rb1 0.0000 0.0000 0.0000 1
Rb2 0.2500 0.2500 0.0000 1
Ce1 0.0000 0.5000 0.0000 1
Ag1 0.2500 0.2500 0.5000 1
S1 0.0496 0.2720 0.5356 1
S2 0.1934 0.4724 0.4093 1
```

Calculated values
* ρ: 3.89 g/cm3
* total DFT energy (no corrections): -4.45 eV/atom
* DOS(E_F): 21.11 states/eV per cell
* uncorrected formation energy: -24.019 kcal/mol of atoms

6.
DFT (GGA-PBE) results for a relaxed structure of Li3TeF.

```
data_Li3TeF
_chemical_formula_sum 'Li3 Te1 F1'
_space_group_name_H-M_alt 'P m -3 m'
_space_group_IT_number 221
_space_group_name_Hall '-P 4 2 3'
_cell_length_a 4.2102
_cell_length_b 4.2102
_cell_length_c 4.2102
_cell_angle_alpha 90.00
_cell_angle_beta 90.00
_cell_angle_gamma 90.00
loop_
_atom_site_label
_atom_site_fract_x
_atom_site_fract_y
_atom_site_fract_z
_atom_site_occupancy
Li1 0.0000 0.0000 0.5000 1
Te1 0.5000 0.5000 0.5000 1
F1 0.0000 0.0000 0.0000 1
```

Calculated values
* E above lowest polymorph: 0 meV/atom
* ρ: 3.73 g/cm3
* total DFT energy (no corrections): -3.90 eV/atom
* DOS(E_F): 0.00 states/eV per cell
* uncorrected formation energy: -40.419 kcal/mol of atoms

7.
DFT (GGA-PBE) results for a relaxed structure of Li3Al5H12.

```
data_Li3Al5H12
_chemical_formula_sum 'Li24 Al40 H96'
_space_group_name_H-M_alt 'I a -3 d'
_space_group_IT_number 230
_space_group_name_Hall '-I 4bd 2c 3'
_cell_length_a 11.3897
_cell_length_b 11.3897
_cell_length_c 11.3897
_cell_angle_alpha 90.00
_cell_angle_beta 90.00
_cell_angle_gamma 90.00
loop_
_atom_site_label
_atom_site_fract_x
_atom_site_fract_y
_atom_site_fract_z
_atom_site_occupancy
Li1 0.0000 0.2500 0.1250 1
Al1 0.0000 0.0000 0.0000 1
Al2 0.0000 0.2500 0.3750 1
H1 0.0178 0.0512 0.6502 1
```

Calculated values
* ρ: 1.51 g/cm3
* total DFT energy (no corrections): -3.06 eV/atom
* DOS(E_F): 41.28 states/eV per cell

8.
DFT (GGA-PBE) results for a relaxed structure of Ca2ReSi.

```
data_Ca2ReSi
_chemical_formula_sum 'Ca2 Re1 Si1'
_space_group_name_H-M_alt 'P 4/m m m'
_space_group_IT_number 123
_space_group_name_Hall '-P 4 2'
_cell_length_a 5.3995
_cell_length_b 5.3995
_cell_length_c 2.9310
_cell_angle_alpha 90.00
_cell_angle_beta 90.00
_cell_angle_gamma 90.00
loop_
_atom_site_label
_atom_site_fract_x
_atom_site_fract_y
_atom_site_fract_z
_atom_site_occupancy
Ca1 0.0000 0.5000 0.0000 1
Re1 0.0000 0.0000 0.5000 1
Si1 0.5000 0.5000 0.5000 1
```

Calculated values
* ρ: 5.72 g/cm3
* total DFT energy (no corrections): -4.92 eV/atom
* DOS(E_F): 3.94 states/eV per cell
* uncorrected formation energy: 12.540 kcal/mol of atoms

9.
DFT (GGA-PBE) results for a relaxed structure of Pu2AgB2Rh5.

```
data_Pu2AgB2Rh5
_chemical_formula_sum 'Pu4 Ag2 B4 Rh10'
_space_group_name_H-M_alt 'P 4/m b m'
_space_group_IT_number 127
_space_group_name_Hall '-P 4 2ab'
_cell_length_a 9.6980
_cell_length_b 9.6980
_cell_length_c 3.2115
_cell_angle_alpha 90.00
_cell_angle_beta 90.00
_cell_angle_gamma 90.00
loop_
_atom_site_label
_atom_site_fract_x
_atom_site_fract_y
_atom_site_fract_z
_atom_site_occupancy
Pu1 0.1780 0.3220 0.0000 1
Ag1 0.0000 0.0000 0.0000 1
B1 0.1214 0.6214 0.0000 1
Rh1 0.0000 0.5000 0.5000 1
Rh2 0.0702 0.7713 0.5000 1
```

Calculated values
* ρ: 12.45 g/cm3
* calculated formation energy: -4.3 eV per formula unit
* total DFT energy (no corrections): -8.59 eV/atom
* DOS(E_F): 49.38 states/eV per cell

10.
DFT (GGA-PBE) results for a relaxed structure of Li2AlPd4.

```
data_Li2AlPd4
_chemical_formula_sum 'Li4 Al2 Pd8'
_space_group_name_H-M_alt 'C m m m'
_space_group_IT_number 65
_space_group_name_Hall '-C 2 2'
_cell_length_a 4.4879
_cell_length_b 9.7956
_cell_length_c 4.4689
_cell_angle_alpha 90.00
_cell_angle_beta 90.00
_cell_angle_gamma 90.00
loop_
_atom_site_label
_atom_site_fract_x
_atom_site_fract_y
_atom_site_fract_z
_atom_site_occupancy
Li1 0.0000 0.1018 0.0000 1
Al1 0.0000 0.5000 0.5000 1
Pd1 0.0000 0.1581 0.5000 1
Pd2 0.0000 0.3553 0.0000 1
```

Calculated values
* E above lowest polymorph: 171 meV/atom
* ρ: 7.89 g/cm3
* calculated formation energy: -2.3 eV per formula unit
* total DFT energy (no corrections): -4.37 eV/atom
* DOS(E_F): 5.41 states/eV per cell

11.
DFT (GGA-PBE) results for a relaxed structure of BaNaEu.

```
data_BaNaEu
_chemical_formula_sum 'Ba1 Na1 Eu1'
_space_group_name_H-M_alt 'P 3 m 1'
_space_group_IT_number 156
_space_group_name_Hall 'P 3 -2"'
_cell_length_a 6.4665
_cell_length_b 6.4665
_cell_length_c 4.1141
_cell_angle_alpha 90.00
_cell_angle_beta 90.00
_cell_angle_gamma 120.00
loop_
_atom_site_label
_atom_site_fract_x
_atom_site_fract_y
_atom_site_fract_z
_atom_site_occupancy
Ba1 0.0000 0.0000 0.0000 1
Na1 0.6667 0.3333 0.3527 1
Eu1 0.3333 0.6667 0.5735 1
```

Calculated values
* E above lowest polymorph: 40 meV/atom
* ρ: 3.48 g/cm3
* calculated formation energy: 0.3 eV per formula unit
* total DFT energy (no corrections): -4.40 eV/atom
* DOS(E_F): 3.17 states/eV per cell

12.
DFT (GGA-PBE) results for a relaxed structure of Pr4Sm2DyHo2.

```
data_Pr4Sm2DyHo2
_chemical_formula_sum 'Pr8 Sm4 Dy2 Ho4'
_space_group_name_H-M_alt 'C 1 2/m 1'
_space_group_IT_number 12
_space_group_name_Hall '-C 2y'
_cell_length_a 15.4538
_cell_length_b 5.1494
_cell_length_c 8.1024
_cell_angle_alpha 90.00
_cell_angle_beta 108.57
_cell_angle_gamma 90.00
loop_
_atom_site_label
_atom_site_fract_x
_atom_site_fract_y
_atom_site_fract_z
_atom_site_occupancy
Pr1 0.0543 0.0000 0.3303 1
Pr2 0.2223 0.5000 0.3302 1
Sm1 0.1116 0.5000 0.6704 1
Dy1 0.0000 0.5000 0.0000 1
Ho1 0.1671 0.0000 0.9997 1
```

Calculated values
* ρ: 7.37 g/cm3
* calculated formation energy: 0.2 eV per formula unit
* total DFT energy (no corrections): -4.68 eV/atom
* DOS(E_F): 29.00 states/eV per cell

13.
DFT (GGA-PBE) results for a relaxed structure of CdNiBr.

```
data_CdNiBr
_chemical_formula_sum 'Cd4 Ni4 Br4'
_space_group_name_H-M_alt 'F -4 3 m'
_space_group_IT_number 216
_space_group_name_Hall 'F -4 2 3'
_cell_length_a 6.3387
_cell_length_b 6.3387
_cell_length_c 6.3387
_cell_angle_alpha 90.00
_cell_angle_beta 90.00
_cell_angle_gamma 90.00
loop_
_atom_site_label
_atom_site_fract_x
_atom_site_fract_y
_atom_site_fract_z
_atom_site_occupancy
Cd1 0.0000 0.0000 0.0000 1
Ni1 0.2500 0.2500 0.7500 1
Br1 0.0000 0.0000 0.5000 1
```

Calculated values
* E above lowest polymorph: 177 meV/atom
* ρ: 6.55 g/cm3
* total DFT energy (no corrections): -2.53 eV/atom
* DOS(E_F): 4.27 states/eV per cell
* uncorrected formation energy: 5.878 kcal/mol of atoms

14.
DFT (GGA-PBE) results for a relaxed structure of PrThNb4.

```
data_PrThNb4
_chemical_formula_sum 'Pr4 Th4 Nb16'
_space_group_name_H-M_alt 'F -4 3 m'
_space_group_IT_number 216
_space_group_name_Hall 'F -4 2 3'
_cell_length_a 8.1884
_cell_length_b 8.1884
_cell_length_c 8.1884
_cell_angle_alpha 90.00
_cell_angle_beta 90.00
_cell_angle_gamma 90.00
loop_
_atom_site_label
_atom_site_fract_x
_atom_site_fract_y
_atom_site_fract_z
_atom_site_occupancy
Pr1 0.0000 0.0000 0.0000 1
Th1 0.2500 0.2500 0.7500 1
Nb1 0.1250 0.1250 0.3750 1
```

Calculated values
* ρ: 9.01 g/cm3
* calculated formation energy: 0.9 eV per formula unit
* total DFT energy (no corrections): -8.59 eV/atom
* DOS(E_F): 23.29 states/eV per cell

15.
DFT (GGA-PBE) results for a relaxed structure of KLiCuTe2.

```
data_KLiCuTe2
_chemical_formula_sum 'K2 Li2 Cu2 Te4'
_space_group_name_H-M_alt 'I -4 m 2'
_space_group_IT_number 119
_space_group_name_Hall 'I -4 -2'
_cell_length_a 4.3350
_cell_length_b 4.3350
_cell_length_c 14.4572
_cell_angle_alpha 90.00
_cell_angle_beta 90.00
_cell_angle_gamma 90.00
loop_
_atom_site_label
_atom_site_fract_x
_atom_site_fract_y
_atom_site_fract_z
_atom_site_occupancy
K1 0.0000 0.0000 0.0000 1
Li1 0.0000 0.5000 0.2500 1
Cu1 0.0000 0.5000 0.7500 1
Te1 0.0000 0.0000 0.3584 1
```

Calculated values
* ρ: 4.46 g/cm3
* total DFT energy (no corrections): -3.33 eV/atom
* DOS(E_F): 4.60 states/eV per cell
* uncorrected formation energy: -15.052 kcal/mol of atoms

16.
DFT (GGA-PBE) results for a relaxed structure of HfThSc.

```
data_HfThSc
_chemical_formula_sum 'Hf4 Th4 Sc4'
_space_group_name_H-M_alt 'C 1 2/m 1'
_space_group_IT_number 12
_space_group_name_Hall '-C 2y'
_cell_length_a 4.6800
_cell_length_b 4.6660
_cell_length_c 14.4475
_cell_angle_alpha 90.00
_cell_angle_beta 90.03
_cell_angle_gamma 90.00
loop_
_atom_site_label
_atom_site_fract_x
_atom_site_fract_y
_atom_site_fract_z
_atom_site_occupancy
Hf1 0.2495 0.0000 0.4283 1
Th1 0.2499 0.0000 0.0947 1
Sc1 0.2494 0.5000 0.2749 1
```

Calculated values
* E above lowest polymorph: 2 meV/atom
* ρ: 9.59 g/cm3
* calculated formation energy: 0.3 eV per formula unit
* total DFT energy (no corrections): -7.81 eV/atom
* DOS(E_F): 17.53 states/eV per cell

17.
DFT (GGA-PBE) results for a relaxed structure of AcEuAu2.

```
data_AcEuAu2
_chemical_formula_sum 'Ac3 Eu3 Au6'
_space_group_name_H-M_alt 'R -3 m'
_space_group_IT_number 166
_space_group_name_Hall '-R 3 2"'
_cell_length_a 4.4982
_cell_length_b 4.4982
_cell_length_c 21.8193
_cell_angle_alpha 90.00
_cell_angle_beta 90.00
_cell_angle_gamma 120.00
loop_
_atom_site_label
_atom_site_fract_x
_atom_site_fract_y
_atom_site_fract_z
_atom_site_occupancy
Ac1 0.0000 0.0000 0.0000 1
Eu1 0.0000 0.0000 0.5000 1
Au1 0.0000 0.0000 0.2484 1
```

Calculated values
* E above lowest polymorph: 34 meV/atom
* ρ: 10.07 g/cm3
* calculated formation energy: -3.0 eV per formula unit
* total DFT energy (no corrections): -5.99 eV/atom
* DOS(E_F): 38.28 states/eV per cell

18.
DFT (GGA-PBE) results for a relaxed structure of ZnInMo2.

```
data_ZnInMo2
_chemical_formula_sum 'Zn3 In3 Mo6'
_space_group_name_H-M_alt 'R 3 m'
_space_group_IT_number 160
_space_group_name_Hall 'R 3 -2"'
_cell_length_a 2.9078
_cell_length_b 2.9078
_cell_length_c 28.7806
_cell_angle_alpha 90.00
_cell_angle_beta 90.00
_cell_angle_gamma 120.00
loop_
_atom_site_label
_atom_site_fract_x
_atom_site_fract_y
_atom_site_fract_z
_atom_site_occupancy
Zn1 0.0000 0.0000 0.0000 1
In1 0.0000 0.0000 0.2408 1
Mo1 0.0000 0.0000 0.4888 1
Mo2 0.0000 0.0000 0.7437 1
```

Calculated values
* E above lowest polymorph: 258 meV/atom
* ρ: 8.80 g/cm3
* calculated formation energy: 1.6 eV per formula unit
* total DFT energy (no corrections): -6.01 eV/atom
* DOS(E_F): 17.11 states/eV per cell

19.
DFT (GGA-PBE) results for a relaxed structure of CuTcTe2F.

```
data_CuTcTe2F
_chemical_formula_sum 'Cu1 Tc1 Te2 F1'
_space_group_name_H-M_alt 'P 4/m m m'
_space_group_IT_number 123
_space_group_name_Hall '-P 4 2'
_cell_length_a 5.3000
_cell_length_b 5.3000
_cell_length_c 3.9847
_cell_angle_alpha 90.00
_cell_angle_beta 90.00
_cell_angle_gamma 90.00
loop_
_atom_site_label
_atom_site_fract_x
_atom_site_fract_y
_atom_site_fract_z
_atom_site_occupancy
Cu1 0.0000 0.0000 0.0000 1
Tc1 0.5000 0.5000 0.5000 1
Te1 0.0000 0.5000 0.5000 1
F1 0.5000 0.5000 0.0000 1
```

Calculated values
* ρ: 6.46 g/cm3
* total DFT energy (no corrections): -4.52 eV/atom
* DOS(E_F): 4.58 states/eV per cell
* uncorrected formation energy: 0.171 kcal/mol of atoms

20.
DFT (GGA-PBE) results for a relaxed structure of LiAc6Hg5.

```
data_LiAc6Hg5
_chemical_formula_sum 'Li2 Ac12 Hg10'
_space_group_name_H-M_alt 'I m m m'
_space_group_IT_number 71
_space_group_name_Hall '-I 2 2'
_cell_length_a 5.7112
_cell_length_b 8.0860
_cell_length_c 17.1776
_cell_angle_alpha 90.00
_cell_angle_beta 90.00
_cell_angle_gamma 90.00
loop_
_atom_site_label
_atom_site_fract_x
_atom_site_fract_y
_atom_site_fract_z
_atom_site_occupancy
Li1 0.0000 0.0000 0.0000 1
Ac1 0.0000 0.2447 0.5000 1
Ac2 0.0000 0.2513 0.1688 1
Hg1 0.0000 0.0000 0.3340 1
Hg2 0.0000 0.5000 0.0000 1
Hg3 0.0000 0.5000 0.3427 1
```

Calculated values
* ρ: 9.93 g/cm3
* calculated formation energy: -4.8 eV per formula unit
* total DFT energy (no corrections): -2.74 eV/atom
* DOS(E_F): 25.90 states/eV per cell